This record from Alexandria describes an optimized crystal structure of NiGe2Os. The functional is GGA-PBE.

```
NiGe2Os
1.0
-3.081 -2.101 1.211
2.425 -2.662 1.551
-0.347 1.672 8.367
Os Ni Ge
2 2 4
direct
0.750 0.250 0.500 Os
0.000 0.000 0.000 Os
0.500 0.500 0.000 Ni
0.250 0.750 0.500 Ni
0.875 0.854 0.750 Ge
0.604 0.125 0.250 Ge
0.375 0.396 0.750 Ge
0.146 0.625 0.250 Ge
```

Formation energy in meV per atom: 315
Offset from the most stable computed form in kJ/mol of formula units: 61.1
Density of states at the Fermi level in states/eV/f.u.: 2.9
ρ in g cm⁻³: 10.54
Calculated volume in Å³ per cell: 124.2

---

This record from Alexandria describes an optimized crystal structure of NiGe2Os. The functional is GGA-PBE.

```
NiGe2Os
1.0
-1.405 -2.561 0.372
1.508 -2.409 0.770
-1.174 0.192 8.534
Ge Os Ni
2 1 1
direct
0.909 0.909 0.272 Ge
0.091 0.091 0.728 Ge
0.500 0.500 0.500 Os
0.000 0.000 0.000 Ni
```

Formation energy in meV per atom: 236
Offset from the most stable computed form in kJ/mol of formula units: 30.3
Density of states at the Fermi level in states/eV/f.u.: 2.8
ρ in g cm⁻³: 10.32
Calculated volume in Å³ per cell: 63.4

---

This record from Alexandria describes an optimized crystal structure of Ni2Ge2Os. The functional is GGA-PBE.

```
Ni2Ge2Os
1.0
3.617 0.000 0.000
0.000 3.617 0.000
1.808 1.808 5.344
Ge Ni Os
2 2 1
direct
0.250 0.750 0.500 Ge
0.750 0.250 0.500 Ge
0.394 0.394 0.213 Ni
0.606 0.606 0.787 Ni
0.000 0.000 0.000 Os
```

Formation energy in meV per atom: 516
Offset from the most stable computed form in kJ/mol of formula units: 230.7
Density of states at the Fermi level in states/eV/f.u.: 5.5
ρ in g cm⁻³: 10.76
Calculated volume in Å³ per cell: 69.9

---

This record from Alexandria describes an optimized crystal structure of Ni2Ge2Os. The functional is GGA-PBE.

```
Ni2Ge2Os
1.0
6.927 0.000 0.000
0.000 6.927 0.000
0.000 0.000 2.742
Ni Ge Os
4 4 2
direct
0.374 0.874 0.000 Ni
0.874 0.626 0.000 Ni
0.626 0.126 0.000 Ni
0.126 0.374 0.000 Ni
0.174 0.674 0.500 Ge
0.826 0.326 0.500 Ge
0.326 0.174 0.500 Ge
0.674 0.826 0.500 Ge
0.500 0.500 0.000 Os
0.000 0.000 0.000 Os
```

Formation energy in meV per atom: 176
Offset from the most stable computed form in kJ/mol of formula units: 66.6
Density of states at the Fermi level in states/eV/f.u.: 4.0
ρ in g cm⁻³: 11.43
Calculated volume in Å³ per cell: 131.6

---

This record from Alexandria describes an optimized crystal structure of Ni2Ge2Os. The functional is GGA-PBE.

```
Ni2Ge2Os
1.0
-6.600 0.637 1.051
-0.764 -6.624 -0.784
0.421 -0.389 2.879
Os Ge Ni
2 4 4
direct
0.500 0.500 0.000 Os
0.000 0.000 0.000 Os
0.654 0.154 0.000 Ge
0.846 0.654 0.000 Ge
0.346 0.846 0.000 Ge
0.154 0.346 0.000 Ge
0.140 0.640 0.500 Ni
0.360 0.140 0.500 Ni
0.860 0.360 0.500 Ni
0.640 0.860 0.500 Ni
```

Formation energy in meV per atom: 38
Offset from the most stable computed form in kJ/mol of formula units: 0.0
Density of states at the Fermi level in states/eV/f.u.: 3.3
ρ in g cm⁻³: 11.37
Calculated volume in Å³ per cell: 132.3

---

This record from Alexandria describes an optimized crystal structure of NiGe2Os. The functional is GGA-PBE.

```
NiGe2Os
1.0
0.000 3.037 3.037
3.037 0.000 3.037
3.037 3.037 0.000
Ni Ge Os
1 2 1
direct
0.000 0.000 0.000 Ni
0.750 0.750 0.750 Ge
0.250 0.250 0.250 Ge
0.500 0.500 0.500 Os
```

Formation energy in meV per atom: 157
Offset from the most stable computed form in kJ/mol of formula units: 0.0
Density of states at the Fermi level in states/eV/f.u.: 2.7
ρ in g cm⁻³: 11.69
Calculated volume in Å³ per cell: 56.0

---

This record from Alexandria describes an optimized crystal structure of PaNiGe2Os2. The functional is GGA-PBE.

```
PaNiGe2Os2
1.0
4.484 0.000 0.000
0.000 4.484 0.000
0.000 0.000 5.249
Pa Ge Ni Os
1 2 1 2
direct
0.000 0.000 0.500 Pa
0.500 0.000 0.000 Ge
0.000 0.500 0.000 Ge
0.000 0.000 0.000 Ni
0.500 0.500 0.270 Os
0.500 0.500 0.730 Os
```

Formation energy in meV per atom: 176
Density of states at the Fermi level in states/eV/f.u.: 5.6
ρ in g cm⁻³: 12.83
Calculated volume in Å³ per cell: 105.5

---

This record from Alexandria describes an optimized crystal structure of Pa2Ni4Ge3Os. The functional is GGA-PBE.

```
Pa2Ni4Ge3Os
1.0
-3.619 -0.609 -1.247
-1.240 -0.145 3.670
-1.706 10.473 -0.162
Os Ge Ni Pa
1 3 4 2
direct
0.500 0.500 0.500 Os
0.000 0.000 0.500 Ge
0.500 0.000 0.876 Ge
0.000 0.500 0.124 Ge
0.000 0.000 0.000 Ni
0.000 0.500 0.343 Ni
0.500 0.000 0.657 Ni
0.500 0.500 0.000 Ni
0.000 0.500 0.739 Pa
0.500 0.000 0.261 Pa
```

Formation energy in meV per atom: -436
Density of states at the Fermi level in states/eV/f.u.: 8.2
ρ in g cm⁻³: 11.51
Calculated volume in Å³ per cell: 159.4

---

This record from Alexandria describes an optimized crystal structure of PmNiGe2Os. The functional is GGA-PBE.

```
PmNiGe2Os
1.0
-2.902 0.766 2.762
1.765 -2.619 2.580
3.512 4.879 -0.673
Ge Os Pm Ni
2 1 1 1
direct
0.625 0.625 0.249 Ge
0.375 0.375 0.751 Ge
0.750 0.250 0.500 Os
0.000 0.000 0.000 Pm
0.250 0.750 0.500 Ni
```

Formation energy in meV per atom: -516
Density of states at the Fermi level in states/eV/f.u.: 2.0
ρ in g cm⁻³: 10.12
Calculated volume in Å³ per cell: 88.4

---

This record from Alexandria describes an optimized crystal structure of Pu2Ni3Ge4Os. The functional is GGA-PBE.

```
Pu2Ni3Ge4Os
1.0
-1.071 -2.274 -3.260
1.443 -3.368 1.876
-8.873 -1.568 4.009
Pu Ge Ni Os
2 4 3 1
direct
0.500 0.000 0.245 Pu
0.000 0.500 0.755 Pu
0.500 0.000 0.638 Ge
0.000 0.000 0.000 Ge
0.500 0.500 0.000 Ge
0.000 0.500 0.362 Ge
0.500 0.000 0.876 Ni
0.000 0.000 0.500 Ni
0.000 0.500 0.124 Ni
0.500 0.500 0.500 Os
```

Formation energy in meV per atom: -436
Density of states at the Fermi level in states/eV/f.u.: 26.7
ρ in g cm⁻³: 11.38
Calculated volume in Å³ per cell: 167.1

---

This record from Alexandria describes an optimized crystal structure of PuNiGe2Os. The functional is GGA-PBE.

```
PuNiGe2Os
1.0
-2.562 -1.400 -2.805
-2.241 -1.716 2.903
-0.468 5.994 0.358
Pu Ge Os Ni
1 2 1 1
direct
0.000 0.000 0.000 Pu
0.377 0.377 0.754 Ge
0.623 0.623 0.246 Ge
0.750 0.250 0.500 Os
0.250 0.750 0.500 Ni
```

Formation energy in meV per atom: -339
Density of states at the Fermi level in states/eV/f.u.: 10.1
ρ in g cm⁻³: 12.20
Calculated volume in Å³ per cell: 86.9

---

This record from Alexandria describes an optimized crystal structure of Pu2NiGe6Os. The functional is GGA-PBE.

```
Pu2NiGe6Os
1.0
6.013 0.000 0.000
3.006 5.207 0.000
3.006 1.736 12.484
Os Ni Ge Pu
2 2 12 4
direct
0.572 0.572 0.284 Os
0.428 0.428 0.716 Os
0.000 0.000 0.000 Ni
0.500 0.500 0.500 Ni
0.776 0.776 0.119 Ge
0.077 0.658 0.606 Ge
0.658 0.658 0.606 Ge
0.224 0.224 0.881 Ge
0.342 0.342 0.394 Ge
0.329 0.776 0.119 Ge
0.342 0.923 0.394 Ge
0.923 0.342 0.394 Ge
0.658 0.077 0.606 Ge
0.776 0.329 0.119 Ge
0.224 0.671 0.881 Ge
0.671 0.224 0.881 Ge
0.699 0.699 0.902 Pu
0.891 0.891 0.326 Pu
0.301 0.301 0.098 Pu
0.109 0.109 0.674 Pu
```

Formation energy in meV per atom: -168
Density of states at the Fermi level in states/eV/f.u.: 18.1
ρ in g cm⁻³: 9.96
Calculated volume in Å³ per cell: 390.9